Computed, not measured: FeNi4Pt2 after structural relaxation at the GGA-PBE level of DFT.

Calculated values
Magnetic moment ... 12.87 μB per cell
Calculated formation energy ... 0.0996 eV/atom
DOS(E_F) ... 7.9 states/eV/f.u.
Relative energy among the computed polymorphs ... 41 meV per atom

Cell: 6.615 6.615 4.298 Å, 90.00 90.00 90.00°
Space group P4_2/mnm (No. 136)
Inequivalent atoms, fractional coordinates:
Fe 0.000 0.000 0.000 [2 per cell]
Ni 0.097 0.359 0.000 [8 per cell]
Pt 0.184 0.184 0.500 [4 per cell]

Computed, not measured: FeNi2Pt after structural relaxation at the GGA-PBE level of DFT.

Calculated values
Magnetic moment ... 8.98 μB per cell
Calculated formation energy ... -0.0901 eV/atom
DOS(E_F) ... 5.5 states/eV/f.u.

Cell: 8.558 2.663 4.502 Å, 90.00 101.34 90.00°
Space group C2/m (No. 12)
Inequivalent atoms, fractional coordinates:
Fe 0.000 0.000 0.000 [2 per cell]
Ni 0.246 0.500 0.238 [4 per cell]
Pt 0.000 0.500 0.500 [2 per cell]

Computed, not measured: FeNi6Pt8 after structural relaxation at the GGA-PBE level of DFT.

Calculated values
Magnetic moment ... 10.05 μB per cell
Calculated formation energy ... 0.0969 eV/atom
DOS(E_F) ... 22.6 states/eV/f.u.

Cell: 7.0830 7.0830 5.1350 Å, 90.00 90.00 120.00°
Space group P-3 (No. 147)
Inequivalent atoms, fractional coordinates:
Fe 0.0000 0.0000 0.0000 [1 per cell]
Ni 0.0228 0.6827 0.8600 [6 per cell]
Pt 0.0154 0.6816 0.3625 [6 per cell]
Pt 0.3333 0.6667 0.0828 [2 per cell]

What did the second record say?
Computed, not measured: FeNi2Pt after structural relaxation at the GGA-PBE level of DFT.

Calculated values
Magnetic moment ... 8.98 μB per cell
Calculated formation energy ... -0.0901 eV/atom
DOS(E_F) ... 5.5 states/eV/f.u.

Cell: 8.558 2.663 4.502 Å, 90.00 101.34 90.00°
Space group C2/m (No. 12)
Inequivalent atoms, fractional coordinates:
Fe 0.000 0.000 0.000 [2 per cell]
Ni 0.246 0.500 0.238 [4 per cell]
Pt 0.000 0.500 0.500 [2 per cell]

calculated formation energy of number 2 (FeNi2Pt)? -0.0901 eV/atom